# 1
# MoRh2Br

Crystalline MoRh2Br at its relaxed geometry (GGA-PBE, the Alexandria database).

The structure belongs to space group Fm-3m (No. 225); the cell edges are 6.3872, 6.3872 and 6.3872 Å and the angles 90.00°, 90.00° and 90.00°. The inequivalent atoms are Mo at (0.0000, 0.0000, 0.0000), Rh at (0.2500, 0.2500, 0.2500) and Br at (0.0000, 0.0000, 0.5000).

As for the raw formation energy: 3.14 eV/f.u. For the relative energy among the computed polymorphs, the calculation gives 2.46 eV/f.u.

# 2
# Sm4DyTl

Crystalline Sm4DyTl at its relaxed geometry (GGA-PBE, the Alexandria database).

The structure belongs to space group P4/mmm (No. 123); the cell edges are 4.1198, 4.1198 and 11.2504 Å and the angles 90.00°, 90.00° and 90.00°. The inequivalent atoms are Sm at (0.0000, 0.0000, 0.1486), Sm at (0.5000, 0.5000, 0.3346), Dy at (0.0000, 0.0000, 0.5000) and Tl at (0.5000, 0.5000, 0.0000).

Its formation energy from the elements is -0.032 eV per atom. For the relative energy among the computed polymorphs, the calculation gives 0.00 eV/f.u.

# 3
# LaBe2Pd3

Crystalline LaBe2Pd3 at its relaxed geometry (GGA-PBE, the Alexandria database).

The structure belongs to space group P6/mmm (No. 191); the cell edges are 9.4147, 9.4147 and 3.7964 Å and the angles 90.00°, 90.00° and 120.00°. The inequivalent atoms are La at (0.0000, 0.0000, 0.0000), La at (0.3333, 0.6667, 0.5000), Be at (0.1800, 0.3600, 0.0000), Pd at (0.0000, 0.2907, 0.5000) and Pd at (0.0000, 0.5000, 0.0000).

Its formation energy from the elements is -0.550 eV per atom.

# 4
# K3CaSc

Crystalline K3CaSc at its relaxed geometry (GGA-PBE, the Alexandria database).

The structure belongs to space group Pm-3m (No. 221); the cell edges are 7.1430, 7.1430 and 7.1430 Å and the angles 90.00°, 90.00° and 90.00°. The inequivalent atoms are K at (0.0000, 0.0000, 0.5000), Ca at (0.0000, 0.0000, 0.0000) and Sc at (0.5000, 0.5000, 0.5000).

Its formation energy from the elements is 1.010 eV per atom. For the relative energy among the computed polymorphs, the calculation gives 0.78 eV/f.u.

# 5
# Na3Ce2NpN6

Crystalline Na3Ce2NpN6 at its relaxed geometry (GGA-PBE, the Alexandria database).

The structure belongs to space group C2/m (No. 12); the cell edges are 6.1386, 10.6522 and 6.0039 Å and the angles 90.00°, 109.83° and 90.00°. The inequivalent atoms are Na at (0.0000, 0.0000, 0.0000), Na at (0.0000, 0.3416, 0.0000), Ce at (0.0000, 0.1670, 0.5000), Np at (0.0000, 0.5000, 0.5000), N at (0.2131, 0.3479, 0.6856) and N at (0.2439, 0.5000, 0.3175).

As for the raw formation energy: -10.93 eV/f.u.

# 6
# LaTbSe

Crystalline LaTbSe at its relaxed geometry (GGA-PBE, the Alexandria database).

The structure belongs to space group Cmce (No. 64); the cell edges are 8.9051, 10.9508 and 7.6786 Å and the angles 90.00°, 90.00° and 90.00°. The inequivalent atoms are La at (0.2043, 0.0000, 0.0000), Tb at (0.0000, 0.2013, 0.3355) and Se at (0.0000, 0.0647, 0.6953).

As for the raw formation energy: -3.12 eV/f.u. For the relative energy among the computed polymorphs, the calculation gives 0.21 eV/f.u.

# 7
# Rb2UBrCl6

Crystalline Rb2UBrCl6 at its relaxed geometry (GGA-PBE, the Alexandria database).

The structure belongs to space group P1 (No. 1); the cell edges are 6.6214, 7.4763 and 9.6700 Å and the angles 107.38°, 96.12° and 94.18°. The inequivalent atoms are Rb at (0.0000, 0.0000, 0.0000), Rb at (0.4489, 0.8120, 0.5694), U at (0.9977, 0.2930, 0.4991), Br at (0.4818, 0.9459, 0.9251), Cl at (0.0902, 0.9651, 0.3618), Cl at (0.1410, 0.4210, 0.3078), Cl at (0.3410, 0.3732, 0.6539), Cl at (0.6578, 0.2097, 0.3429), Cl at (0.8597, 0.1629, 0.6900) and Cl at (0.9112, 0.6249, 0.6296).

As for the raw formation energy: -17.37 eV/f.u.

# 8
# ScInRh

Crystalline ScInRh at its relaxed geometry (GGA-PBE, the Alexandria database).

The structure belongs to space group P3m1 (No. 156); the cell edges are 3.2730, 3.2730 and 6.4685 Å and the angles 90.00°, 90.00° and 120.00°. The inequivalent atoms are Sc at (0.0000, 0.0000, 0.0000), In at (0.6667, 0.3333, 0.3941) and Rh at (0.3333, 0.6667, 0.7175).

Its formation energy from the elements is -0.400 eV per atom.

# 9
# HgTe2Pt

Crystalline HgTe2Pt at its relaxed geometry (GGA-PBE, the Alexandria database).

The structure belongs to space group P2/m (No. 10); the cell edges are 3.0994, 4.0063 and 9.1833 Å and the angles 90.00°, 90.80° and 90.00°. The inequivalent atoms are Hg at (0.0000, 0.0000, 0.0000), Te at (0.0065, 0.5000, 0.6898) and Pt at (0.0000, 0.0000, 0.5000).

As for the raw formation energy: -0.65 eV/f.u.

# 10
# GaPRuAu2S

Crystalline GaPRuAu2S at its relaxed geometry (GGA-PBE, the Alexandria database).

The structure belongs to space group P1 (No. 1); the cell edges are 3.6280, 5.3731 and 6.0012 Å and the angles 77.81°, 75.14° and 87.70°. The inequivalent atoms are Ga at (0.0000, 0.0000, 0.0000), P at (0.5669, 0.4867, 0.7859), Ru at (0.1368, 0.3396, 0.6325), Au at (0.3213, 0.8548, 0.5399), Au at (0.4420, 0.6396, 0.1459) and S at (0.7770, 0.2359, 0.3516).

As for the raw formation energy: -0.58 eV/f.u. For the relative energy among the computed polymorphs, the calculation gives 0.30 eV/f.u.

# 11
# BaNi2Cl

Crystalline BaNi2Cl at its relaxed geometry (GGA-PBE, the Alexandria database).

The structure belongs to space group Pm (No. 6); the cell edges are 3.5814, 3.5760 and 7.7187 Å and the angles 90.00°, 91.18° and 90.00°. The inequivalent atoms are Ba at (0.0000, 0.0000, 0.0000), Ni at (0.4850, 0.0000, 0.6618), Ni at (0.9841, 0.5000, 0.6616) and Cl at (0.5098, 0.5000, 0.2198).

As for the raw formation energy: -0.90 eV/f.u. For the relative energy among the computed polymorphs, the calculation gives 0.24 eV/f.u.

# 12
# MgI2O

Crystalline MgI2O at its relaxed geometry (GGA-PBE, the Alexandria database).

The structure belongs to space group Fm-3m (No. 225); the cell edges are 7.3115, 7.3115 and 7.3115 Å and the angles 90.00°, 90.00° and 90.00°. The inequivalent atoms are Mg at (0.0000, 0.0000, 0.0000), I at (0.2500, 0.2500, 0.2500) and O at (0.0000, 0.0000, 0.5000).

As for the raw formation energy: 0.57 eV/f.u. For the relative energy among the computed polymorphs, the calculation gives 0.84 eV/f.u.

# 13
# ZrTl2Mo

Crystalline ZrTl2Mo at its relaxed geometry (GGA-PBE, the Alexandria database).

The structure belongs to space group Immm (No. 71); the cell edges are 3.7673, 4.8055 and 9.3791 Å and the angles 90.00°, 90.00° and 90.00°. The inequivalent atoms are Zr at (0.0000, 0.0000, 0.0000), Tl at (0.0000, 0.5000, 0.2426) and Mo at (0.0000, 0.0000, 0.5000).

Its formation energy from the elements is 0.356 eV per atom. For the relative energy among the computed polymorphs, the calculation gives 0.13 eV/f.u.

# 14
# SmEr2HfAs4

Crystalline SmEr2HfAs4 at its relaxed geometry (GGA-PBE, the Alexandria database).

The structure belongs to space group P2/m (No. 10); the cell edges are 6.9926, 4.0390 and 7.0060 Å and the angles 90.00°, 109.26° and 90.00°. The inequivalent atoms are Sm at (0.0000, 0.0000, 0.0000), Er at (0.5000, 0.0000, 0.5000), Er at (0.5000, 0.5000, 0.0000), Hf at (0.0000, 0.5000, 0.5000), As at (0.2416, 0.0000, 0.7359) and As at (0.2497, 0.5000, 0.2619).

Its formation energy from the elements is -1.374 eV per atom.

# 15
# TaPb2

Crystalline TaPb2 at its relaxed geometry (GGA-PBE, the Alexandria database).

The structure belongs to space group I4/mmm (No. 139); the cell edges are 3.0744, 3.0744 and 17.3148 Å and the angles 90.00°, 90.00° and 90.00°. The inequivalent atoms are Ta at (0.0000, 0.0000, 0.0000) and Pb at (0.0000, 0.0000, 0.3615).

Its formation energy from the elements is 0.427 eV per atom.

# 16
# LaHfSi3

Crystalline LaHfSi3 at its relaxed geometry (GGA-PBE, the Alexandria database).

The structure belongs to space group Pm-3m (No. 221); the cell edges are 5.1591, 5.1591 and 5.1591 Å and the angles 90.00°, 90.00° and 90.00°. The inequivalent atoms are La at (0.0000, 0.0000, 0.0000), Hf at (0.5000, 0.5000, 0.5000) and Si at (0.0000, 0.0000, 0.5000).

As for the raw formation energy: 7.27 eV/f.u.

# 17
# Rb2BeMo

Crystalline Rb2BeMo at its relaxed geometry (GGA-PBE, the Alexandria database).

The structure belongs to space group I-42d (No. 122); the cell edges are 13.2930, 13.2930 and 4.4682 Å and the angles 90.00°, 90.00° and 90.00°. The inequivalent atoms are Rb at (0.0574, 0.7500, 0.1250), Be at (0.0000, 0.0000, 0.0000) and Mo at (0.0000, 0.0000, 0.5000).

Its formation energy from the elements is 1.357 eV per atom.

# 18
# LaMg2Ni

Crystalline LaMg2Ni at its relaxed geometry (GGA-PBE, the Alexandria database).

The structure belongs to space group R-3m (No. 166, hexagonal axes); the cell edges are 3.2800, 3.2800 and 28.9841 Å and the angles 90.00°, 90.00° and 120.00°. The inequivalent atoms are La at (0.0000, 0.0000, 0.0000), Mg at (0.0000, 0.0000, 0.2289) and Ni at (0.0000, 0.0000, 0.5000).

Its formation energy from the elements is 0.113 eV per atom.

# 19
# BeTe2Pt

Crystalline BeTe2Pt at its relaxed geometry (GGA-PBE, the Alexandria database).

The structure belongs to space group C2/m (No. 12); the cell edges are 7.1915, 3.9840 and 7.1448 Å and the angles 90.00°, 118.26° and 90.00°. The inequivalent atoms are Be at (0.0000, 0.0000, 0.0000), Te at (0.1708, 0.0000, 0.7740) and Pt at (0.0000, 0.5000, 0.5000).

As for the raw formation energy: -0.10 eV/f.u.

# 20
# HoInPb2Cl8

Crystalline HoInPb2Cl8 at its relaxed geometry (GGA-PBE, the Alexandria database).

The structure belongs to space group P2/m (No. 10); the cell edges are 6.5562, 8.9193 and 6.8410 Å and the angles 90.00°, 90.85° and 90.00°. The inequivalent atoms are Ho at (0.0000, 0.0000, 0.0000), In at (0.0000, 0.5000, 0.0000), Pb at (0.5000, 0.2502, 0.5000), Cl at (0.2264, 0.2129, 0.1604), Cl at (0.2451, 0.0000, 0.6906) and Cl at (0.2784, 0.5000, 0.6397).

As for the raw formation energy: -17.59 eV/f.u.

| no. | total moment (μB per formula unit) |
| --- | --- |
| 1 | 0.00 |
| 2 | 0.00 |
| 3 | 0.00 |
| 4 | 1.34 |
| 5 | 0.00 |
| 6 | 0.00 |
| 7 | 1.15 |
| 8 | 0.00 |
| 9 | 0.00 |
| 10 | 0.00 |
| 11 | 1.14 |
| 12 | 1.99 |
| 13 | 0.00 |
| 14 | 0.00 |
| 15 | 0.00 |
| 16 | 0.00 |
| 17 | 3.45 |
| 18 | 0.00 |
| 19 | 0.00 |
| 20 | 0.00 |